(1)
Material: Sr3Hg3Au
Method: DFT, PBE-GGA
State: optimized geometry

raw total energy: -1.87 eV per atom
volume: 219 Å³/f.u.
energy of formation: -556 meV per atom
theoretical density: 8040 kg/m³

abc: 11.9326 4.3721 17.4580
angles: 90.00 105.65 90.00
Space group C2/m (No. 12)
Symmetry-distinct sites (fractional):
Sr  0.0157  0.0000  0.3862 x4
Sr  0.1087  0.0000  0.9237 x4
Sr  0.2288  0.0000  0.2361 x4
Hg  0.0053  0.5000  0.2294 x4
Hg  0.1125  0.5000  0.0778 x4
Hg  0.1520  0.5000  0.5358 x4
Au  0.2159  0.5000  0.3710 x4



(2)
Material: Sr6HgAu
Method: DFT, PBE-GGA
State: optimized geometry

raw total energy: -2.03 eV per atom
volume: 333 Å³/f.u.
energy of formation: -320 meV per atom
theoretical density: 4605 kg/m³
relative energy among the computed polymorphs: 8.0 meV per atom

abc: 5.6874 5.6874 20.5862
angles: 90.00 90.00 90.00
Space group I4/mmm (No. 139)
Symmetry-distinct sites (fractional):
Sr  0.0000  0.0000  0.2489 x4
Sr  0.0000  0.5000  0.0908 x8
Hg  0.0000  0.0000  0.0000 x2
Au  0.0000  0.0000  0.5000 x2



(3)
Material: SrHg4Au2
Method: DFT, PBE-GGA
State: optimized geometry

raw total energy: -1.64 eV per atom
volume: 178 Å³/f.u.
energy of formation: -288 meV per atom
theoretical density: 11966 kg/m³

abc: 4.4412 18.0037 4.4564
angles: 90.00 90.00 90.00
Space group Cmmm (No. 65)
Symmetry-distinct sites (fractional):
Sr  0.0000  0.0000  0.0000 x2
Hg  0.0000  0.1805  0.5000 x4
Hg  0.0000  0.3198  0.0000 x4
Au  0.0000  0.4253  0.5000 x4



(4)
Material: SrHg3Au3
Method: DFT, PBE-GGA
State: optimized geometry

raw total energy: -1.73 eV per atom
volume: 230 Å³/f.u.
energy of formation: 44 meV per atom
theoretical density: 9249 kg/m³
relative energy among the computed polymorphs: 290.5 meV per atom

abc: 7.7179 7.7179 7.7179
angles: 90.00 90.00 90.00
Space group Pm-3n (No. 223)
Symmetry-distinct sites (fractional):
Sr  0.0000  0.0000  0.0000 x2
Hg  0.0000  0.2500  0.5000 x6
Au  0.0000  0.5000  0.2500 x6